Record 1
In5CuSe2 | PBE-GGA | relaxed

The structure in CIF format:
```
data_In5CuSe2
_symmetry_space_group_name_H-M 'P 1'
_symmetry_Int_Tables_number 1
_cell_length_a 4.692
_cell_length_b 4.692
_cell_length_c 10.971
_cell_angle_alpha 90.00
_cell_angle_beta 90.00
_cell_angle_gamma 90.00
loop_
_symmetry_equiv_pos_as_xyz
'x,y,z'
loop_
_atom_site_label
_atom_site_type_symbol
_atom_site_fract_x
_atom_site_fract_y
_atom_site_fract_z
_atom_site_occupancy
Se1 Se 0.500 0.500 0.649 1
Se2 Se 0.500 0.500 0.351 1
In1 In 0.500 0.500 0.000 1
In2 In 0.000 0.500 0.808 1
In3 In 0.500 0.000 0.808 1
In4 In 0.500 0.000 0.192 1
In5 In 0.000 0.500 0.192 1
Cu1 Cu 0.000 0.000 0.000 1
```

Record 2
ScZn2B | PBE-GGA | relaxed

The structure in CIF format:
```
data_ScZn2B
_symmetry_space_group_name_H-M 'P 1'
_symmetry_Int_Tables_number 1
_cell_length_a 4.286
_cell_length_b 4.286
_cell_length_c 4.286
_cell_angle_alpha 60.00
_cell_angle_beta 60.00
_cell_angle_gamma 60.00
loop_
_symmetry_equiv_pos_as_xyz
'x,y,z'
loop_
_atom_site_label
_atom_site_type_symbol
_atom_site_fract_x
_atom_site_fract_y
_atom_site_fract_z
_atom_site_occupancy
Sc1 Sc 0.250 0.250 0.250 1
Zn1 Zn 0.750 0.750 0.750 1
Zn2 Zn 0.500 0.500 0.500 1
B1 B 0.000 0.000 0.000 1
```

Output
**Magnetization**: 0.00 μB/atom

Record 3
Mg2Sc2Zn2HgAu | PBE-GGA | relaxed

The structure in CIF format:
```
data_Mg2Sc2Zn2HgAu
_symmetry_space_group_name_H-M 'P 1'
_symmetry_Int_Tables_number 1
_cell_length_a 4.747
_cell_length_b 4.747
_cell_length_c 6.680
_cell_angle_alpha 90.00
_cell_angle_beta 90.00
_cell_angle_gamma 90.00
loop_
_symmetry_equiv_pos_as_xyz
'x,y,z'
loop_
_atom_site_label
_atom_site_type_symbol
_atom_site_fract_x
_atom_site_fract_y
_atom_site_fract_z
_atom_site_occupancy
Mg1 Mg 0.500 0.000 0.243 1
Mg2 Mg 0.000 0.500 0.757 1
Zn1 Zn 0.500 0.500 0.000 1
Zn2 Zn 0.000 0.000 0.500 1
Sc1 Sc 0.500 0.000 0.758 1
Sc2 Sc 0.000 0.500 0.242 1
Hg1 Hg 0.500 0.500 0.500 1
Au1 Au 0.000 0.000 0.000 1
```

Output
**Magnetization**: 0.00 μB/atom

Record 4
MgAg2 | PBE-GGA | relaxed

The structure in CIF format:
```
data_MgAg2
_symmetry_space_group_name_H-M 'P 1'
_symmetry_Int_Tables_number 1
_cell_length_a 5.492
_cell_length_b 5.492
_cell_length_c 17.794
_cell_angle_alpha 90.00
_cell_angle_beta 90.00
_cell_angle_gamma 120.00
loop_
_symmetry_equiv_pos_as_xyz
'x,y,z'
loop_
_atom_site_label
_atom_site_type_symbol
_atom_site_fract_x
_atom_site_fract_y
_atom_site_fract_z
_atom_site_occupancy
Mg1 Mg 0.000 0.000 0.406 1
Mg2 Mg 0.333 0.667 0.656 1
Mg3 Mg 0.667 0.333 0.156 1
Mg4 Mg 0.667 0.333 0.344 1
Mg5 Mg 0.000 0.000 0.094 1
Mg6 Mg 0.333 0.667 0.844 1
Mg7 Mg 0.000 0.000 0.906 1
Mg8 Mg 0.000 0.000 0.594 1
Ag1 Ag 0.500 0.000 0.500 1
Ag2 Ag 0.837 0.163 0.750 1
Ag3 Ag 0.500 0.500 0.000 1
Ag4 Ag 0.333 0.667 0.126 1
Ag5 Ag 0.325 0.163 0.750 1
Ag6 Ag 0.675 0.837 0.250 1
Ag7 Ag 0.500 0.000 0.000 1
Ag8 Ag 0.837 0.675 0.750 1
Ag9 Ag 0.333 0.667 0.374 1
Ag10 Ag 0.000 0.500 0.000 1
Ag11 Ag 0.500 0.500 0.500 1
Ag12 Ag 0.000 0.500 0.500 1
Ag13 Ag 0.163 0.325 0.250 1
Ag14 Ag 0.163 0.837 0.250 1
Ag15 Ag 0.667 0.333 0.874 1
Ag16 Ag 0.667 0.333 0.626 1
```

Output
**E above lowest polymorph**: 0.000 eV/atom

Record 5
Ac2Si5Ni3 | PBE-GGA | relaxed

The structure in CIF format:
```
data_Ac2Si5Ni3
_symmetry_space_group_name_H-M 'P 1'
_symmetry_Int_Tables_number 1
_cell_length_a 8.273
_cell_length_b 8.273
_cell_length_c 8.273
_cell_angle_alpha 106.08
_cell_angle_beta 88.87
_cell_angle_gamma 137.96
loop_
_symmetry_equiv_pos_as_xyz
'x,y,z'
loop_
_atom_site_label
_atom_site_type_symbol
_atom_site_fract_x
_atom_site_fract_y
_atom_site_fract_z
_atom_site_occupancy
Si1 Si 0.115 0.133 0.248 1
Si2 Si 0.385 0.633 0.019 1
Si3 Si 0.002 0.250 0.752 1
Si4 Si 0.498 0.250 0.248 1
Si5 Si 0.250 0.750 0.500 1
Si6 Si 0.502 0.750 0.752 1
Si7 Si 0.998 0.750 0.248 1
Si8 Si 0.750 0.250 0.500 1
Si9 Si 0.885 0.867 0.752 1
Si10 Si 0.615 0.367 0.981 1
Ni1 Ni 0.371 0.887 0.258 1
Ni2 Ni 0.629 0.113 0.742 1
Ni3 Ni 0.871 0.613 0.484 1
Ni4 Ni 0.250 0.250 0.000 1
Ni5 Ni 0.129 0.387 0.516 1
Ni6 Ni 0.750 0.750 0.000 1
Ac1 Ac 0.127 0.745 0.872 1
Ac2 Ac 0.873 0.255 0.128 1
Ac3 Ac 0.627 0.755 0.382 1
Ac4 Ac 0.373 0.245 0.618 1
```

Output
**Magnetization**: 0.00 μB/atom

Record 6
NaTmRe | PBE-GGA | relaxed

The structure in CIF format:
```
data_NaTmRe
_symmetry_space_group_name_H-M 'P 1'
_symmetry_Int_Tables_number 1
_cell_length_a 4.769
_cell_length_b 4.769
_cell_length_c 4.769
_cell_angle_alpha 60.00
_cell_angle_beta 60.00
_cell_angle_gamma 60.00
loop_
_symmetry_equiv_pos_as_xyz
'x,y,z'
loop_
_atom_site_label
_atom_site_type_symbol
_atom_site_fract_x
_atom_site_fract_y
_atom_site_fract_z
_atom_site_occupancy
Na1 Na 0.250 0.250 0.250 1
Tm1 Tm 0.000 0.000 0.000 1
Re1 Re 0.750 0.750 0.750 1
```

Output
**Magnetization**: 0.53 μB/atom
**E above lowest polymorph**: 0.000 eV/atom

Record 7
Mo2AuC | PBE-GGA | relaxed

The structure in CIF format:
```
data_Mo2AuC
_symmetry_space_group_name_H-M 'P 1'
_symmetry_Int_Tables_number 1
_cell_length_a 3.104
_cell_length_b 3.104
_cell_length_c 13.632
_cell_angle_alpha 90.00
_cell_angle_beta 90.00
_cell_angle_gamma 120.00
loop_
_symmetry_equiv_pos_as_xyz
'x,y,z'
loop_
_atom_site_label
_atom_site_type_symbol
_atom_site_fract_x
_atom_site_fract_y
_atom_site_fract_z
_atom_site_occupancy
Mo1 Mo 0.333 0.667 0.081 1
Mo2 Mo 0.333 0.667 0.419 1
Mo3 Mo 0.667 0.333 0.919 1
Mo4 Mo 0.667 0.333 0.581 1
Au1 Au 0.333 0.667 0.750 1
Au2 Au 0.667 0.333 0.250 1
C1 C 0.000 0.000 0.000 1
C2 C 0.000 0.000 0.500 1
```

Output
**Magnetization**: 0.00 μB/atom

Record 8
SmNbTl | PBE-GGA | relaxed

The structure in CIF format:
```
data_SmNbTl
_symmetry_space_group_name_H-M 'P 1'
_symmetry_Int_Tables_number 1
_cell_length_a 5.050
_cell_length_b 5.050
_cell_length_c 5.050
_cell_angle_alpha 60.00
_cell_angle_beta 60.00
_cell_angle_gamma 60.00
loop_
_symmetry_equiv_pos_as_xyz
'x,y,z'
loop_
_atom_site_label
_atom_site_type_symbol
_atom_site_fract_x
_atom_site_fract_y
_atom_site_fract_z
_atom_site_occupancy
Nb1 Nb 0.250 0.250 0.250 1
Tl1 Tl 0.750 0.750 0.750 1
Sm1 Sm 0.000 0.000 0.000 1
```

Output
**Magnetization**: 1.01 μB/atom
**E above lowest polymorph**: 0.356 eV/atom

no.,E_tot (eV per atom)
1,-3.007
2,-3.705
3,-3.182
4,-2.482
5,-5.861
6,-4.488
7,-8.503
8,-4.725